1.
{
  "formula": "Tb7ScCd2",
  "functional": "PBE-GGA",
  "state": "relaxed",
  "total_energy_ev_per_atom": -3.639,
  "e_form_ev_per_atom": 0.4187,
  "m_tot_mub_per_cell": 0.00,
  "space_group": "Cmmm (65)",
  "n_ef_per_ev_cell": 17.39,
  "cell": [[5.0881, 0.0000, 0.0000], [0.0000, 9.1176, -0.3638], [0.0000, -4.4381, 7.9729]],
  "species": ["Cd", "Tb", "Tb", "Cd", "Sc", "Tb", "Tb", "Tb", "Tb", "Tb"],
  "fractional_positions": [[0.5000, 0.6949, 0.3051], [0.0000, 0.7837, 0.2163], [0.5000, 0.5000, 0.5000], [0.5000, 0.3051, 0.6949], [0.0000, 0.0000, 0.0000], [0.5000, 0.7048, 0.9306], [0.5000, 0.2952, 0.0694], [0.0000, 0.2163, 0.7837], [0.5000, 0.0694, 0.2952], [0.5000, 0.9306, 0.7048]]
}



2.
{
  "formula": "Tb5ScCd3",
  "functional": "PBE-GGA",
  "state": "relaxed",
  "total_energy_ev_per_atom": -3.758,
  "e_form_ev_per_atom": -0.1776,
  "m_tot_mub_per_cell": 0.00,
  "space_group": "P6_3/mcm (193)",
  "n_ef_per_ev_cell": 11.59,
  "cell": [[6.8279, 0.0000, 0.0000], [0.0000, 9.1551, 0.0000], [0.0000, -4.5776, 7.9284]],
  "species": ["Tb", "Tb", "Sc", "Sc", "Tb", "Tb", "Tb", "Cd", "Cd", "Tb", "Tb", "Tb", "Tb", "Cd", "Tb", "Cd", "Cd", "Cd"],
  "fractional_positions": [[0.7500, 0.0000, 0.3237], [0.2500, 0.0000, 0.6763], [0.0000, 0.0000, 0.0000], [0.5000, 0.0000, 0.0000], [0.5000, 0.6667, 0.3333], [0.0000, 0.3333, 0.6667], [0.7500, 0.3237, 0.0000], [0.7500, 0.0000, 0.6625], [0.2500, 0.0000, 0.3375], [0.7500, 0.6763, 0.6763], [0.0000, 0.6667, 0.3333], [0.5000, 0.3333, 0.6667], [0.2500, 0.3237, 0.3237], [0.7500, 0.3375, 0.3375], [0.2500, 0.6763, 0.0000], [0.7500, 0.6624, 0.0000], [0.2500, 0.6625, 0.6625], [0.2500, 0.3376, 0.0000]]
}



3.
{
  "formula": "Tb2ScCd",
  "functional": "PBE-GGA",
  "state": "relaxed",
  "total_energy_ev_per_atom": -4.168,
  "e_form_ev_per_atom": -0.0408,
  "m_tot_mub_per_cell": 0.00,
  "space_group": "R3m (160)",
  "n_ef_per_ev_cell": 6.52,
  "cell": [[3.5179, 0.0000, 0.0000], [1.7590, 3.0466, 0.0000], [1.7590, 1.0155, 10.5370]],
  "species": ["Cd", "Tb", "Sc", "Tb"],
  "fractional_positions": [[0.6666, 0.6666, 0.0001], [0.2514, 0.2514, 0.2457], [0.5000, 0.5000, 0.5001], [0.0820, 0.0820, 0.7541]]
}



4.
{
  "formula": "Tb2Sc6Cd",
  "functional": "PBE-GGA",
  "state": "relaxed",
  "total_energy_ev_per_atom": -5.309,
  "e_form_ev_per_atom": 0.0426,
  "m_tot_mub_per_cell": 0.00,
  "space_group": "Immm (71)",
  "n_ef_per_ev_cell": 11.80,
  "cell": [[-3.2975, 0.4127, 0.4100], [-1.6209, -8.2300, -4.7512], [2.7791, 0.2257, 8.4411]],
  "species": ["Sc", "Tb", "Sc", "Sc", "Sc", "Cd", "Sc", "Tb", "Sc"],
  "fractional_positions": [[0.1820, 0.0213, 0.3643], [0.1395, 0.6389, 0.2778], [0.1820, 0.3430, 0.3643], [0.5000, 0.2709, 0.0000], [0.8180, 0.9787, 0.6357], [0.0000, 0.0000, 0.0000], [0.8180, 0.6570, 0.6357], [0.8605, 0.3611, 0.7222], [0.5000, 0.7291, 0.0000]]
}



5.
{
  "formula": "Tb7ScCd4",
  "functional": "PBE-GGA",
  "state": "relaxed",
  "total_energy_ev_per_atom": -3.540,
  "e_form_ev_per_atom": -0.0066,
  "m_tot_mub_per_cell": 0.00,
  "space_group": "C2/m (12)",
  "n_ef_per_ev_cell": 12.98,
  "cell": [[-4.0214, -3.7081, -1.3578], [3.9551, -7.6923, -2.4037], [-0.9195, -5.3701, 5.6913]],
  "species": ["Cd", "Tb", "Tb", "Cd", "Tb", "Sc", "Tb", "Tb", "Cd", "Tb", "Cd", "Tb"],
  "fractional_positions": [[0.4560, 0.7112, 0.3768], [0.9285, 0.4116, 0.7314], [0.7433, 0.2987, 0.2147], [0.3201, 0.3446, 0.0153], [0.7958, 0.8814, 0.5269], [0.0000, 0.0000, 0.0000], [0.2567, 0.7013, 0.7853], [0.2042, 0.1186, 0.4731], [0.5440, 0.2888, 0.6232], [0.5000, 0.0000, 0.0000], [0.6799, 0.6554, 0.9847], [0.0715, 0.5884, 0.2686]]
}



6.
{
  "formula": "TbSc2Cd",
  "functional": "PBE-GGA",
  "state": "relaxed",
  "total_energy_ev_per_atom": -4.587,
  "e_form_ev_per_atom": -0.0349,
  "m_tot_mub_per_cell": 0.00,
  "space_group": "R-3m (166)",
  "n_ef_per_ev_cell": 5.02,
  "cell": [[-0.6067, -3.3118, -0.2966], [1.5230, -2.1897, 2.0760], [-7.5751, -0.9880, 7.2667]],
  "species": ["Sc", "Tb", "Cd", "Sc"],
  "fractional_positions": [[0.2556, 0.2556, 0.2331], [0.5000, 0.5000, 0.5000], [0.0000, 0.0000, 0.0000], [0.7444, 0.7444, 0.7669]]
}